No. 1
Below is crystalline HfBRu3 at its relaxed geometry, with properties calculated at the PBE-GGA level.

a b c (Å): 5.445 5.445 5.261
angles (deg): 90.00 90.00 107.94
Sites, in units of the cell vectors:
Hf 0.057 0.943 0.750
Hf 0.943 0.057 0.250
B 0.319 0.681 0.750
B 0.681 0.319 0.250
Ru 0.022 0.585 0.250
Ru 0.415 0.978 0.250
Ru 0.500 0.500 0.000
Ru 0.500 0.500 0.500
Ru 0.585 0.022 0.750
Ru 0.978 0.415 0.750

Results
volume	148.4	Å³ per cell
E_form	0.149	eV/atom
symmetry	Cmcm, No. 63

No. 2
Below is crystalline Hf2ScB2Ru5 at its relaxed geometry, with properties calculated at the PBE-GGA level.

a b c (Å): 9.478 9.478 3.115
angles (deg): 90.00 90.00 90.00
Sites, in units of the cell vectors:
Hf 0.175 0.325 0.000
Hf 0.325 0.825 0.000
Hf 0.675 0.175 0.000
Hf 0.825 0.675 0.000
Sc 0.000 0.000 0.000
Sc 0.500 0.500 0.000
B 0.124 0.624 0.000
B 0.376 0.124 0.000
B 0.624 0.876 0.000
B 0.876 0.376 0.000
Ru 0.000 0.500 0.500
Ru 0.072 0.780 0.500
Ru 0.220 0.072 0.500
Ru 0.280 0.572 0.500
Ru 0.428 0.280 0.500
Ru 0.500 0.000 0.500
Ru 0.572 0.720 0.500
Ru 0.720 0.428 0.500
Ru 0.780 0.928 0.500
Ru 0.928 0.220 0.500

Results
volume	279.9	Å³ per cell
E_form	-0.626	eV/atom
symmetry	P4/mbm, No. 127

No. 3
Below is crystalline Hf2SnB2Ru5 at its relaxed geometry, with properties calculated at the PBE-GGA level.

a b c (Å): 9.515 9.515 3.106
angles (deg): 90.00 90.00 90.00
Sites, in units of the cell vectors:
Hf 0.175 0.325 0.000
Hf 0.325 0.825 0.000
Hf 0.675 0.175 0.000
Hf 0.825 0.675 0.000
Sn 0.000 0.000 0.000
Sn 0.500 0.500 0.000
B 0.122 0.622 0.000
B 0.378 0.122 0.000
B 0.622 0.878 0.000
B 0.878 0.378 0.000
Ru 0.000 0.500 0.500
Ru 0.071 0.779 0.500
Ru 0.221 0.071 0.500
Ru 0.279 0.571 0.500
Ru 0.429 0.279 0.500
Ru 0.500 0.000 0.500
Ru 0.571 0.721 0.500
Ru 0.721 0.429 0.500
Ru 0.779 0.929 0.500
Ru 0.929 0.221 0.500

Results
volume	281.2	Å³ per cell
E_form	-0.623	eV/atom
symmetry	P4/mbm, No. 127

No. 4
Below is crystalline Hf2TaB2Ru5 at its relaxed geometry, with properties calculated at the PBE-GGA level.

a b c (Å): 9.475 9.475 3.099
angles (deg): 90.00 90.00 90.00
Sites, in units of the cell vectors:
Hf 0.176 0.324 0.000
Hf 0.324 0.824 0.000
Hf 0.676 0.176 0.000
Hf 0.824 0.676 0.000
Ta 0.000 0.000 0.000
Ta 0.500 0.500 0.000
B 0.121 0.621 0.000
B 0.379 0.121 0.000
B 0.621 0.879 0.000
B 0.879 0.379 0.000
Ru 0.000 0.500 0.500
Ru 0.071 0.782 0.500
Ru 0.218 0.071 0.500
Ru 0.282 0.571 0.500
Ru 0.429 0.282 0.500
Ru 0.500 0.000 0.500
Ru 0.571 0.718 0.500
Ru 0.718 0.429 0.500
Ru 0.782 0.929 0.500
Ru 0.929 0.218 0.500

Results
volume	278.2	Å³ per cell
E_form	-0.695	eV/atom
symmetry	P4/mbm, No. 127

No. 5
Below is crystalline HfTcBRu2 at its relaxed geometry, with properties calculated at the PBE-GGA level.

a b c (Å): 4.130 4.130 4.162
angles (deg): 90.00 90.00 90.00
Sites, in units of the cell vectors:
Hf 0.000 0.000 0.000
Tc 0.500 0.500 0.000
B 0.500 0.500 0.500
Ru 0.000 0.500 0.500
Ru 0.500 0.000 0.500

Results
volume	71.0	Å³ per cell
E_form	-0.372	eV/atom
symmetry	P4/mmm, No. 123

No. 6
Below is crystalline HfTc2BRu at its relaxed geometry, with properties calculated at the PBE-GGA level.

a b c (Å): 4.166 4.166 4.155
angles (deg): 90.00 90.00 90.00
Sites, in units of the cell vectors:
Hf 0.000 0.000 0.000
Tc 0.000 0.500 0.500
Tc 0.500 0.000 0.500
B 0.500 0.500 0.500
Ru 0.500 0.500 0.000

Results
volume	72.1	Å³ per cell
E_form	-0.263	eV/atom
symmetry	P4/mmm, No. 123

No. 7
Below is crystalline Hf2VB2Ru5 at its relaxed geometry, with properties calculated at the PBE-GGA level.

a b c (Å): 9.351 9.351 3.060
angles (deg): 90.00 90.00 90.00
Sites, in units of the cell vectors:
Hf 0.176 0.324 0.000
Hf 0.324 0.824 0.000
Hf 0.676 0.176 0.000
Hf 0.824 0.676 0.000
V 0.000 0.000 0.000
V 0.500 0.500 0.000
B 0.123 0.623 0.000
B 0.377 0.123 0.000
B 0.623 0.877 0.000
B 0.877 0.377 0.000
Ru 0.000 0.500 0.500
Ru 0.069 0.787 0.500
Ru 0.213 0.069 0.500
Ru 0.287 0.569 0.500
Ru 0.431 0.287 0.500
Ru 0.500 0.000 0.500
Ru 0.569 0.713 0.500
Ru 0.713 0.431 0.500
Ru 0.787 0.931 0.500
Ru 0.931 0.213 0.500

Results
volume	267.5	Å³ per cell
E_form	-0.664	eV/atom
symmetry	P4/mbm, No. 127

No. 8
Below is crystalline Hf2B2Ru5W at its relaxed geometry, with properties calculated at the PBE-GGA level.

a b c (Å): 9.460 9.460 3.071
angles (deg): 90.00 90.00 90.00
Sites, in units of the cell vectors:
Hf 0.176 0.324 0.000
Hf 0.324 0.824 0.000
Hf 0.676 0.176 0.000
Hf 0.824 0.676 0.000
B 0.121 0.621 0.000
B 0.379 0.121 0.000
B 0.621 0.879 0.000
B 0.879 0.379 0.000
Ru 0.000 0.500 0.500
Ru 0.071 0.784 0.500
Ru 0.216 0.071 0.500
Ru 0.284 0.571 0.500
Ru 0.429 0.284 0.500
Ru 0.500 0.000 0.500
Ru 0.571 0.716 0.500
Ru 0.716 0.429 0.500
Ru 0.784 0.929 0.500
Ru 0.929 0.216 0.500
W 0.000 0.000 0.000
W 0.500 0.500 0.000

Results
volume	274.9	Å³ per cell
E_form	-0.602	eV/atom
symmetry	P4/mbm, No. 127

No. 9
Below is crystalline HfBRuW2 at its relaxed geometry, with properties calculated at the PBE-GGA level.

a b c (Å): 4.817 4.817 3.912
angles (deg): 90.00 90.00 90.00
Sites, in units of the cell vectors:
Hf 0.000 0.000 0.000
B 0.500 0.500 0.000
Ru 0.500 0.500 0.500
W 0.000 0.500 0.500
W 0.500 0.000 0.500

Results
volume	90.8	Å³ per cell
E_form	1.242	eV/atom
symmetry	P4/mmm, No. 123

No. 10
Below is crystalline YHfBRu2 at its relaxed geometry, with properties calculated at the PBE-GGA level.

a b c (Å): 4.695 4.695 5.369
angles (deg): 90.00 90.00 90.00
Sites, in units of the cell vectors:
Y 0.000 0.000 0.000
Hf 0.000 0.000 0.500
B 0.500 0.500 0.500
Ru 0.000 0.500 0.000
Ru 0.500 0.000 0.000

Results
volume	118.3	Å³ per cell
E_form	2.618	eV/atom
symmetry	P4/mmm, No. 123

No. 11
Below is crystalline Y2HfB2Ru5 at its relaxed geometry, with properties calculated at the PBE-GGA level.

a b c (Å): 9.754 9.754 3.159
angles (deg): 90.00 90.00 90.00
Sites, in units of the cell vectors:
Y 0.176 0.324 0.000
Y 0.324 0.824 0.000
Y 0.676 0.176 0.000
Y 0.824 0.676 0.000
Hf 0.000 0.000 0.000
Hf 0.500 0.500 0.000
B 0.121 0.621 0.000
B 0.379 0.121 0.000
B 0.621 0.879 0.000
B 0.879 0.379 0.000
Ru 0.000 0.500 0.500
Ru 0.071 0.778 0.500
Ru 0.222 0.071 0.500
Ru 0.278 0.571 0.500
Ru 0.429 0.278 0.500
Ru 0.500 0.000 0.500
Ru 0.571 0.722 0.500
Ru 0.722 0.429 0.500
Ru 0.778 0.929 0.500
Ru 0.929 0.222 0.500

Results
volume	300.5	Å³ per cell
E_form	-0.508	eV/atom
symmetry	P4/mbm, No. 127

No. 12
Below is crystalline Hf4BS5 at its relaxed geometry, with properties calculated at the PBE-GGA level.

a b c (Å): 8.008 8.008 7.186
angles (deg): 102.16 102.16 25.68
Sites, in units of the cell vectors:
Hf 0.000 0.000 0.234
Hf 0.000 0.000 0.766
Hf 0.343 0.343 0.918
Hf 0.657 0.657 0.082
B 0.500 0.500 0.000
S 0.165 0.165 0.330
S 0.169 0.169 0.829
S 0.500 0.500 0.500
S 0.831 0.831 0.171
S 0.835 0.835 0.670

Results
volume	195.0	Å³ per cell
total DFT energy (no corrections)	-8.14	eV per atom
symmetry	C2/m, No. 12

No. 13
Below is crystalline HfB3S at its relaxed geometry, with properties calculated at the PBE-GGA level.

a b c (Å): 4.544 4.544 4.544
angles (deg): 90.00 90.00 90.00
Sites, in units of the cell vectors:
Hf 0.000 0.000 0.000
B 0.000 0.000 0.500
B 0.000 0.500 0.000
B 0.500 0.000 0.000
S 0.500 0.500 0.500

Results
ΔE to the lowest computed polymorph	959	meV/atom
volume	93.8	Å³ per cell
symmetry	Pm-3m, No. 221

No. 14
Below is crystalline HfBS at its relaxed geometry, with properties calculated at the PBE-GGA level.

a b c (Å): 4.775 4.775 7.362
angles (deg): 113.27 113.27 45.31
Sites, in units of the cell vectors:
Hf 0.083 0.083 0.327
Hf 0.917 0.917 0.673
B 0.459 0.459 0.880
B 0.541 0.541 0.120
S 0.217 0.217 0.706
S 0.783 0.783 0.294

Results
ΔE to the lowest computed polymorph	762	meV/atom
volume	107.8	Å³ per cell
symmetry	C2/m, No. 12

No. 15
Below is crystalline HfBS2 at its relaxed geometry, with properties calculated at the PBE-GGA level.

a b c (Å): 3.366 3.366 7.669
angles (deg): 103.42 103.42 60.03
Sites, in units of the cell vectors:
Hf 0.000 0.000 0.000
B 0.112 0.112 0.317
S 0.433 0.433 0.283
S 0.594 0.594 0.793

Results
volume	72.5	Å³ per cell
total DFT energy (no corrections)	-6.46	eV per atom
symmetry	Cm, No. 8

No. 16
Below is crystalline HfBS2 at its relaxed geometry, with properties calculated at the PBE-GGA level.

a b c (Å): 7.191 7.191 7.191
angles (deg): 27.10 27.10 27.10
Sites, in units of the cell vectors:
Hf 0.000 0.000 0.000
B 0.500 0.500 0.500
S 0.416 0.416 0.416
S 0.584 0.584 0.584

Results
volume	68.1	Å³ per cell
total DFT energy (no corrections)	-6.52	eV per atom
symmetry	R-3m, No. 166

No. 17
Below is crystalline Hf8BS2 at its relaxed geometry, with properties calculated at the PBE-GGA level.

a b c (Å): 6.827 6.827 5.804
angles (deg): 105.16 105.16 59.06
Sites, in units of the cell vectors:
Hf 0.111 0.111 0.249
Hf 0.134 0.636 0.277
Hf 0.364 0.866 0.723
Hf 0.380 0.380 0.744
Hf 0.620 0.620 0.256
Hf 0.636 0.134 0.277
Hf 0.866 0.364 0.723
Hf 0.889 0.889 0.751
B 0.500 0.500 0.500
S 0.250 0.250 0.007
S 0.750 0.750 0.993

Results
volume	221.3	Å³ per cell
total DFT energy (no corrections)	-9.13	eV per atom
symmetry	C2/m, No. 12

No. 18
Below is crystalline HfBS2 at its relaxed geometry, with properties calculated at the PBE-GGA level.

a b c (Å): 5.699 5.699 5.699
angles (deg): 122.50 122.50 85.72
Sites, in units of the cell vectors:
Hf 0.000 0.000 0.000
Hf 0.750 0.250 0.500
B 0.250 0.750 0.500
B 0.500 0.500 0.000
S 0.216 0.625 0.091
S 0.375 0.466 0.591
S 0.534 0.125 0.909
S 0.875 0.784 0.409

Results
volume	125.6	Å³ per cell
total DFT energy (no corrections)	-6.37	eV per atom
symmetry	I-42d, No. 122

No. 19
Below is crystalline HfB3S at its relaxed geometry, with properties calculated at the PBE-GGA level.

a b c (Å): 3.841 3.841 3.841
angles (deg): 90.00 90.00 90.00
Sites, in units of the cell vectors:
Hf 0.000 0.000 0.000
B 0.000 0.500 0.500
B 0.500 0.000 0.500
B 0.500 0.500 0.000
S 0.500 0.500 0.500

Results
ΔE to the lowest computed polymorph	0	meV/atom
volume	56.6	Å³ per cell
symmetry	Pm-3m, No. 221

No. 20
Below is crystalline HfBS at its relaxed geometry, with properties calculated at the PBE-GGA level.

a b c (Å): 3.331 3.331 10.615
angles (deg): 99.22 99.22 60.08
Sites, in units of the cell vectors:
Hf 0.057 0.057 0.167
Hf 0.943 0.943 0.833
B 0.336 0.336 0.008
B 0.664 0.664 0.992
S 0.224 0.224 0.682
S 0.776 0.776 0.318

Results
ΔE to the lowest computed polymorph	0	meV/atom
volume	100.3	Å³ per cell
symmetry	C2/m, No. 12